{
  "formula": "CaAlGa2",
  "functional": "PBE",
  "state": "optimized geometry",
  "cell": [[7.405, 0.000, 0.000], [0.000, 4.112, 0.000], [0.000, 0.000, 11.310]],
  "species": ["Ca", "Ca", "Ca", "Ca", "Al", "Al", "Al", "Al", "Ga", "Ga", "Ga", "Ga", "Ga", "Ga", "Ga", "Ga"],
  "frac_coords": [[0.135, 0.250, 0.140], [0.365, 0.750, 0.640], [0.635, 0.250, 0.360], [0.865, 0.750, 0.860], [0.142, 0.250, 0.443], [0.358, 0.750, 0.943], [0.642, 0.250, 0.057], [0.858, 0.750, 0.557], [0.036, 0.250, 0.661], [0.183, 0.250, 0.862], [0.317, 0.750, 0.362], [0.464, 0.750, 0.161], [0.536, 0.250, 0.839], [0.683, 0.250, 0.638], [0.817, 0.750, 0.138], [0.964, 0.750, 0.339]],
  "mass_density_g_cm3": 4.0,
  "final_energy_ev_per_atom": -3.3383
}